YZrSn2Ge: optimized geometry, PBE.

Cell: 5.668 5.217 5.668 Å, 90.00 90.00 90.00°
Fractional coordinates of all 5 atoms:
Y (0.000, 0.000, 0.000)
Ge (0.500, 0.500, 0.500)
Sn (0.000, 0.000, 0.500)
Sn (0.500, 0.000, 0.000)
Zr (0.000, 0.500, 0.000)

## Properties
Mass density ... 4.856 g cm⁻³
E ... -4.51 eV per atom
Crystal system ... tetragonal
ΔH_f (0 K) ... 98.2 kJ/mol of atoms